A relaxed structure of CrFeB. Source: Alexandria via LeMat-Bulk, functional GGA-PBE.

Cell lengths 2.5314, 2.5314, 8.4129 Å; angles 90.00, 90.00, 90.00 degrees
Closest atoms and distances in Å follow each position.
Space group I4mm (No. 107)
Symmetry-distinct sites (fractional):
Cr: 0.0000 0.0000 0.0000 (multiplicity 2)  4 B 2.28, 5 Fe 2.48-2.49, 4 Cr 2.53
Fe: 0.0000 0.0000 0.7049 (multiplicity 2)  4 B 2.08
B: 0.0000 0.0000 0.3313 (multiplicity 2)  4 Fe 2.08, 4 Cr 2.28

Output
ΔE to the lowest computed polymorph   0.192 eV per atom


A relaxed structure of CrFeB. Source: Alexandria via LeMat-Bulk, functional GGA-PBE.

Cell lengths 4.1554, 7.0317, 7.3264 Å; angles 90.00, 90.00, 90.00 degrees
Closest atoms and distances in Å follow each position.
Space group Fmmm (No. 69)
Symmetry-distinct sites (fractional):
Cr: 0.0000 0.1601 0.0000 (multiplicity 8)  4 B 2.20, 3 Cr 2.25-2.43
Fe: 0.0000 0.0000 0.3368 (multiplicity 8)  4 B 2.14, 1 Fe 2.39
B: 0.2500 0.2500 0.2500 (multiplicity 8)  2 B 2.08, 4 Fe 2.14, 4 Cr 2.20

Output
ΔE to the lowest computed polymorph   0.002 eV per atom


A relaxed structure of CrFeB. Source: Alexandria via LeMat-Bulk, functional GGA-PBE.

Cell lengths 3.5721, 3.5721, 2.5157 Å; angles 90.00, 90.00, 120.00 degrees
Closest atoms and distances in Å follow each position.
Space group P-6m2 (No. 187)
Symmetry-distinct sites (fractional):
Cr: 0.0000 0.0000 0.0000 (multiplicity 1)  6 B 2.42, 6 Fe 2.42, 2 Cr 2.52
Fe: 0.6667 0.3333 0.5000 (multiplicity 1)  3 B 2.06
B: 0.3333 0.6667 0.5000 (multiplicity 1)  3 Fe 2.06

Output
ΔE to the lowest computed polymorph   0.269 eV per atom


A relaxed structure of Cr2FeB4. Source: Alexandria via LeMat-Bulk, functional GGA-PBE.

Cell lengths 3.6515, 3.6515, 10.3732 Å; angles 90.00, 90.00, 90.00 degrees
Closest atoms and distances in Å follow each position.
Space group I4/mmm (No. 139)
Symmetry-distinct sites (fractional):
Cr: 0.0000 0.0000 0.1228 (multiplicity 4)  1 B 1.97
Fe: 0.0000 0.0000 0.5000 (multiplicity 2)  6 B 1.83-1.94
B: 0.0000 0.0000 0.3126 (multiplicity 4)  1 Fe 1.94, 1 Cr 1.97
B: 0.0000 0.5000 0.0000 (multiplicity 4)  2 Fe 1.83


A relaxed structure of CrFeB3. Source: Alexandria via LeMat-Bulk, functional GGA-PBE.

Cell lengths 3.6473, 3.6473, 3.6473 Å; angles 90.00, 90.00, 90.00 degrees
Closest atoms and distances in Å follow each position.
Space group Pm-3m (No. 221)
Symmetry-distinct sites (fractional):
Cr: 0.0000 0.0000 0.0000 (multiplicity 1)  12 B 2.58
Fe: 0.5000 0.5000 0.5000 (multiplicity 1)  6 B 1.82
B: 0.0000 0.5000 0.5000 (multiplicity 3)  2 Fe 1.82


A relaxed structure of CrFeB. Source: Alexandria via LeMat-Bulk, functional GGA-PBE.

Cell lengths 8.0475, 2.9093, 5.7810 Å; angles 90.00, 125.90, 90.00 degrees
Closest atoms and distances in Å follow each position.
Space group C2/m (No. 12)
Symmetry-distinct sites (fractional):
Cr: 0.0825 0.0000 0.3497 (multiplicity 4)  5 B 2.17-2.37
Fe: 0.1728 0.5000 0.0797 (multiplicity 4)  3 B 2.03-2.23
B: 0.1271 0.5000 0.6600 (multiplicity 4)  1 B 1.78

Output
ΔE to the lowest computed polymorph   0.002 eV per atom


A relaxed structure of CrFe3B2. Source: Alexandria via LeMat-Bulk, functional GGA-PBE.

Cell lengths 4.1670, 7.2411, 7.0997 Å; angles 90.00, 90.00, 90.00 degrees
Closest atoms and distances in Å follow each position.
Space group Fmm2 (No. 42)
Symmetry-distinct sites (fractional):
Cr: 0.0000 0.0000 0.0000 (multiplicity 4)  4 B 2.19, 3 Fe 2.30-2.43
Fe: 0.0000 0.0000 0.6761 (multiplicity 4)  4 B 2.17, 3 Cr 2.30-2.43
Fe: 0.0000 0.1653 0.3420 (multiplicity 8)  4 B 2.14-2.15, 1 Fe 2.39
B: 0.2500 0.2500 0.0929 (multiplicity 8)  2 B 2.08, 6 Fe 2.14-2.17, 2 Cr 2.19


A relaxed structure of CrFeB2. Source: Alexandria via LeMat-Bulk, functional GGA-PBE.

Cell lengths 3.3286, 3.3286, 14.3221 Å; angles 90.00, 90.00, 90.00 degrees
Closest atoms and distances in Å follow each position.
Space group I4_1/amd (No. 141, origin choice 2)
Symmetry-distinct sites (fractional):
Cr: 0.0000 0.2500 0.3750 (multiplicity 4)  4 Fe 2.35, 8 B 2.58
Fe: 0.0000 0.2500 0.8750 (multiplicity 4)  4 B 1.97
B: 0.0000 0.0000 0.0000 (multiplicity 8)  2 B 1.66

Output
ΔE to the lowest computed polymorph   0.941 eV per atom


A relaxed structure of Cr2FeB2. Source: Alexandria via LeMat-Bulk, functional GGA-PBE.

Cell lengths 5.4644, 5.4644, 2.9443 Å; angles 90.00, 90.00, 90.00 degrees
Closest atoms and distances in Å follow each position.
Space group P4/mbm (No. 127)
Symmetry-distinct sites (fractional):
Cr: 0.1749 0.3251 0.0000 (multiplicity 4)  6 B 2.18-2.19
Fe: 0.0000 0.0000 0.5000 (multiplicity 2)  4 B 2.19
B: 0.1165 0.6165 0.5000 (multiplicity 4)  1 B 1.80


A relaxed structure of CrFeB. Source: Alexandria via LeMat-Bulk, functional GGA-PBE.

Cell lengths 3.7371, 4.0372, 4.2544 Å; angles 76.92, 80.32, 62.62 degrees
Closest atoms and distances in Å follow each position.
Space group P-1 (No. 2)
Symmetry-distinct sites (fractional):
Cr: 0.1448 0.2621 0.3186 (multiplicity 2)  5 B 2.18-2.43, 3 Fe 2.30-2.32
Fe: 0.4784 0.6434 0.2225 (multiplicity 2)  3 B 2.11-2.16, 3 Cr 2.30-2.32
B: 0.1622 0.0534 0.8379 (multiplicity 2)  1 B 1.79

Output
ΔE to the lowest computed polymorph   0.282 eV per atom


A relaxed structure of CrFeB. Source: Alexandria via LeMat-Bulk, functional GGA-PBE.

Cell lengths 3.2319, 4.2895, 8.0113 Å; angles 90.00, 90.00, 90.00 degrees
Closest atoms and distances in Å follow each position.
Space group Immm (No. 71)
Symmetry-distinct sites (fractional):
Cr: 0.0000 0.2399 0.0000 (multiplicity 4)  2 Cr 2.06-2.23, 4 B 2.21
Fe: 0.0000 0.5000 0.2850 (multiplicity 4)  4 B 2.06-2.26
B: 0.0000 0.0000 0.3736 (multiplicity 4)  1 B 2.03, 4 Fe 2.06-2.26, 4 Cr 2.21

Output
ΔE to the lowest computed polymorph   0.265 eV per atom


A relaxed structure of CrFeB3. Source: Alexandria via LeMat-Bulk, functional GGA-PBE.

Cell lengths 3.8005, 3.8005, 3.8005 Å; angles 90.00, 90.00, 90.00 degrees
Closest atoms and distances in Å follow each position.
Space group Pm-3m (No. 221)
Symmetry-distinct sites (fractional):
Cr: 0.0000 0.0000 0.0000 (multiplicity 1)  6 B 1.90
Fe: 0.5000 0.5000 0.5000 (multiplicity 1)  12 B 2.69
B: 0.0000 0.0000 0.5000 (multiplicity 3)  2 Cr 1.90


A relaxed structure of CrFeB2. Source: Alexandria via LeMat-Bulk, functional GGA-PBE.

Cell lengths 3.3409, 3.3409, 10.6886 Å; angles 90.00, 90.00, 120.00 degrees
Closest atoms and distances in Å follow each position.
Space group R-3m (No. 166, hexagonal axes)
Symmetry-distinct sites (fractional):
Cr: 0.0000 0.0000 0.0000 (multiplicity 3)  8 B 2.27-2.36
Fe: 0.0000 0.0000 0.5000 (multiplicity 3)  6 B 2.01
B: 0.0000 0.0000 0.2208 (multiplicity 6)  3 Fe 2.01, 3 B 2.25

Output
ΔE to the lowest computed polymorph   0.402 eV per atom


A relaxed structure of CrFeB. Source: Alexandria via LeMat-Bulk, functional GGA-PBE.

Cell lengths 2.7458, 4.7347, 8.4820 Å; angles 90.00, 90.00, 90.00 degrees
Closest atoms and distances in Å follow each position.
Space group Immm (No. 71)
Symmetry-distinct sites (fractional):
Cr: 0.0000 0.0000 0.2102 (multiplicity 4)  2 B 2.07
Fe: 0.0000 0.2596 0.5000 (multiplicity 4)  4 B 2.05, 1 Fe 2.28
B: 0.0000 0.5000 0.1064 (multiplicity 4)  1 B 1.80

Output
ΔE to the lowest computed polymorph   0.105 eV per atom


A relaxed structure of CrFeB. Source: Alexandria via LeMat-Bulk, functional GGA-PBE.

Cell lengths 2.5734, 2.7059, 8.0886 Å; angles 90.00, 90.00, 90.00 degrees
Closest atoms and distances in Å follow each position.
Space group Amm2 (No. 38)
Symmetry-distinct sites (fractional):
Cr: 0.0000 0.0000 0.0000 (multiplicity 2)  2 B 2.09
Fe: 0.5000 0.0000 0.2966 (multiplicity 2)  4 B 2.03
B: 0.0000 0.0000 0.6976 (multiplicity 2)  4 Fe 2.03, 2 Cr 2.09

Output
ΔE to the lowest computed polymorph   0.241 eV per atom


A relaxed structure of Cr3FeB. Source: Alexandria via LeMat-Bulk, functional GGA-PBE.

Cell lengths 3.8235, 3.8235, 3.8235 Å; angles 90.00, 90.00, 90.00 degrees
Closest atoms and distances in Å follow each position.
Space group Pm-3m (No. 221)
Symmetry-distinct sites (fractional):
Cr: 0.0000 0.0000 0.5000 (multiplicity 3)  2 B 1.91
Fe: 0.5000 0.5000 0.5000 (multiplicity 1)  12 Cr 2.70
B: 0.0000 0.0000 0.0000 (multiplicity 1)  6 Cr 1.91

Output
ΔE to the lowest computed polymorph   0.000 eV per atom


A relaxed structure of CrFe2B. Source: Alexandria via LeMat-Bulk, functional GGA-PBE.

Cell lengths 2.5037, 2.5037, 5.9658 Å; angles 90.00, 90.00, 90.00 degrees
Closest atoms and distances in Å follow each position.
Space group P4/mmm (No. 123)
Symmetry-distinct sites (fractional):
Cr: 0.0000 0.0000 0.0000 (multiplicity 1)  8 Fe 2.50, 4 Cr 2.50
Fe: 0.5000 0.5000 0.2956 (multiplicity 2)  4 B 2.15
B: 0.0000 0.0000 0.5000 (multiplicity 1)  8 Fe 2.15


A relaxed structure of CrFe2B4. Source: Alexandria via LeMat-Bulk, functional GGA-PBE.

Cell lengths 2.9284, 2.9453, 12.5436 Å; angles 90.00, 90.00, 90.00 degrees
Closest atoms and distances in Å follow each position.
Space group Immm (No. 71)
Symmetry-distinct sites (fractional):
Cr: 0.0000 0.0000 0.0000 (multiplicity 2)  12 B 2.25-2.36
Fe: 0.0000 0.5000 0.1834 (multiplicity 4)  7 B 2.05-2.13
B: 0.0000 0.0000 0.4310 (multiplicity 4)  3 B 1.73-1.77
B: 0.0000 0.5000 0.3527 (multiplicity 4)  2 B 1.77


A relaxed structure of CrFeB. Source: Alexandria via LeMat-Bulk, functional GGA-PBE.

Cell lengths 8.6005, 2.5686, 5.1582 Å; angles 90.00, 107.79, 90.00 degrees
Closest atoms and distances in Å follow each position.
Space group C2/m (No. 12)
Symmetry-distinct sites (fractional):
Cr: 0.1427 0.0000 0.0787 (multiplicity 4)  4 B 2.27-2.28, 1 Cr 2.34, 3 Fe 2.47-2.53
Fe: 0.1502 0.0000 0.5720 (multiplicity 4)  4 B 2.09-2.11
B: 0.0052 0.5000 0.7185 (multiplicity 4)  4 Fe 2.09-2.11, 1 B 2.23, 4 Cr 2.27-2.28

Output
ΔE to the lowest computed polymorph   0.249 eV per atom


A relaxed structure of CrFeB. Source: Alexandria via LeMat-Bulk, functional GGA-PBE.

Cell lengths 8.4533, 2.6240, 5.1760 Å; angles 90.00, 109.43, 90.00 degrees
Closest atoms and distances in Å follow each position.
Space group C2/m (No. 12)
Symmetry-distinct sites (fractional):
Cr: 0.1643 0.0000 0.3222 (multiplicity 4)  4 B 2.21-2.31, 2 Cr 2.33, 3 Fe 2.41-2.44
Fe: 0.1373 0.0000 0.8251 (multiplicity 4)  4 B 2.14
B: 0.0000 0.5000 0.0000 (multiplicity 2)  4 Fe 2.14, 4 Cr 2.21
B: 0.0000 0.5000 0.5000 (multiplicity 2)  4 Fe 2.14, 4 Cr 2.31

Output
ΔE to the lowest computed polymorph   0.255 eV per atom


no.,raw total energy (eV per formula unit),DFT formation energy (kJ/mol of atoms)
1,-25.15,-12.4
2,-25.72,-30.8
3,-24.92,-5.0
4,-49.73,64.6
5,-33.39,91.3
6,-25.72,-30.8
7,-50.10,-27.8
8,-29.40,49.1
9,-43.20,-41.2
10,-24.88,-3.7
11,-24.93,-5.4
12,-32.30,112.3
13,-31.56,-2.9
14,-25.41,-20.8
15,-25.00,-7.7
16,-42.04,38.1
17,-33.49,-6.4
18,-56.08,-38.9
19,-24.98,-6.9
20,-24.96,-6.3